{"formula": "LiGeB", "functional": "PBE-GGA", "state": "relaxed", "formation_enthalpy_0k_ev_per_fu": 0.55, "m_tot_mub_per_cell": 0.00, "lattice_angstrom": [[5.698, 0.000, 0.000], [0.000, 6.050, 0.000], [-2.636, 0.000, 4.915]], "species": ["Li", "Li", "Li", "Li", "Ge", "Ge", "Ge", "Ge", "B", "B", "B", "B"], "frac_coords": [[0.230, 0.163, 0.111], [0.230, 0.337, 0.611], [0.770, 0.663, 0.389], [0.770, 0.837, 0.889], [0.272, 0.732, 0.357], [0.272, 0.768, 0.857], [0.728, 0.232, 0.143], [0.728, 0.268, 0.643], [0.012, 0.522, 0.864], [0.012, 0.978, 0.364], [0.988, 0.022, 0.636], [0.988, 0.478, 0.136]]}